Entry 1:
Here is a relaxed Ba2NaTlCl crystal from the Alexandria database. Energies are from PBE.

Computed properties:
Formation energy from raw total energies   -775 meV per atom
Density of states at the Fermi level   3.836 states/eV/cell
Crystal system   tetragonal

Cell: 6.245 6.245 5.114 Å, 90.00 90.00 90.00°
Space group P4/mmm (No. 123)
Asymmetric unit:
1 Ba 0.000 0.500 0.000
2 Na 0.000 0.000 0.500
3 Tl 0.500 0.500 0.500
4 Cl 0.000 0.000 0.000

***

Entry 2:
Here is a relaxed TbPaMn17 crystal from the Alexandria database. Energies are from PBE.

Computed properties:
E_form   0.00 eV per atom
Density of states at the Fermi level   62.080 states/eV/cell
Crystal system   trigonal

Cell: 8.6089 8.6089 11.6292 Å, 90.00 90.00 120.00°
Space group R3m (No. 160, hexagonal axes)
Asymmetric unit:
1 Tb 0.0000 0.0000 0.0000
2 Pa 0.0000 0.0000 0.2946
3 Mn 0.0000 0.0000 0.5424
4 Mn 0.0000 0.0000 0.7448
5 Mn 0.0067 0.5033 0.5080
6 Mn 0.0605 0.3925 0.3132
7 Mn 0.1679 0.3358 0.4818
8 Mn 0.1738 0.3475 0.1154

***

Entry 3:
Here is a relaxed Dy6Ho12Pu crystal from the Alexandria database. Energies are from PBE.

Computed properties:
E_form   0.16 eV per atom
Density of states at the Fermi level   100.829 states/eV/cell
Crystal system   trigonal

Cell: 12.0901 12.0901 14.2187 Å, 90.00 90.00 120.00°
Space group R-3 (No. 148, hexagonal axes)
Asymmetric unit:
1 Dy 0.0305 0.4388 0.2081
2 Ho 0.0399 0.1805 0.3093
3 Ho 0.0691 0.8701 0.9068
4 Pu 0.0000 0.0000 0.5000